ThTiNi2Ge2 (PBE-GGA, relaxed); DOS at the Fermi energy = 4.7 states/eV/cell; energy relative to the elements = -0.735 eV/atom; density = 8.81 g/cm³; space-group type = P-3m1, No. 164; magnetization = 0.00 μB per formula unit
1.0
-1.6542 1.9582 -3.2427
-2.4284 -1.3350 3.0671
0.7831 6.0470 3.2522
Th Ti Ni Ge
1 1 2 2
Direct
0.0000 0.0000 0.0000
0.0000 0.0000 0.5000
0.6667 0.3333 0.3384
0.3333 0.6667 0.6616
0.6667 0.3333 0.7145
0.3333 0.6667 0.2855

---

CePr3Co3 (PBE-GGA, relaxed); DOS at the Fermi energy = 12.7 states/eV/cell; energy relative to the elements = -0.093 eV/atom; density = 7.48 g/cm³; space-group type = C2/m, No. 12; magnetization = 0.00 μB per formula unit
1.0
-3.3718 1.7257 0.3664
-1.0194 0.8030 6.6016
4.3399 12.7907 -0.5225
Ce Pr Co
2 6 6
Direct
0.7727 0.0655 0.3892
0.2273 0.9345 0.6108
0.4939 0.3837 0.6285
0.5061 0.6163 0.3715
0.2643 0.2769 0.1945
0.7357 0.7231 0.8055
0.4148 0.2526 0.9178
0.5852 0.7474 0.0822
0.8775 0.7015 0.5435
0.1225 0.2985 0.4565
0.0848 0.9017 0.9287
0.9152 0.0983 0.0713
0.9221 0.9131 0.2428
0.0779 0.0869 0.7572

---

KNa8In4 (PBE-GGA, relaxed); DOS at the Fermi energy = 7.9 states/eV/cell; energy relative to the elements = -0.075 eV/atom; density = 2.68 g/cm³; space-group type = I4/mmm, No. 139; magnetization = 0.00 μB per formula unit
1.0
6.0730 0.0000 2.4411
3.0365 8.0405 1.2205
0.0377 0.0000 8.6809
K Na In
1 8 4
Direct
0.0000 0.0000 0.0000
0.0000 0.3375 0.6625
0.0000 0.6625 0.3375
0.3375 0.6625 0.6625
0.6625 0.3375 0.3375
0.5000 0.7762 0.2238
0.5000 0.2238 0.7762
0.2762 0.2238 0.2238
0.7238 0.7762 0.7762
0.0000 0.0000 0.5000
0.5000 0.0000 0.5000
0.0000 0.5000 0.0000
0.5000 0.5000 0.0000

---

ScTi3W (PBE-GGA, relaxed); DOS at the Fermi energy = 7.4 states/eV/cell; energy relative to the elements = 1.501 eV/atom; density = 6.79 g/cm³; space-group type = Pm-3m, No. 221; magnetization = 0.00 μB per formula unit
1.0
4.5000 0.0000 0.0000
0.0000 4.5000 0.0000
0.0000 0.0000 4.5000
Sc W Ti
1 1 3
Direct
0.0000 0.0000 0.0000
0.5000 0.5000 0.5000
0.0000 0.5000 0.0000
0.0000 0.0000 0.5000
0.5000 0.0000 0.0000

---

LaNb3S (PBE-GGA, relaxed); E_form (uncorrected) = 8 kJ/mol of formula units; DOS at the Fermi energy = 6.8 states/eV/cell; density = 6.90 g/cm³; space-group type = Pm-3m, No. 221; magnetization = 0.00 μB per formula unit
1.0
-2.3288 -1.8732 3.7109
-1.8226 -3.3628 -2.8413
3.7361 -2.8082 0.9271
Nb S La
3 1 1
Direct
0.0000 0.5000 0.0000
0.0000 0.0000 0.5000
0.5000 0.0000 0.0000
0.0000 0.0000 0.0000
0.5000 0.5000 0.5000

---

Ce2DyHo3Se6 (PBE-GGA, relaxed); E_form (uncorrected) = -2047 kJ/mol of formula units; DOS at the Fermi energy = 14.3 states/eV/cell; density = 7.97 g/cm³; space-group type = C2/m, No. 12; magnetization = 1.89 μB per formula unit
1.0
-1.7383 -0.1281 -6.8694
6.8150 0.1558 1.9384
-1.5729 -6.7708 1.7457
Ce Dy Ho Se
2 1 3 6
Direct
0.3338 0.6662 0.0000
0.6662 0.3338 0.0000
0.0000 0.0000 0.0000
0.1674 0.8326 0.5000
0.8326 0.1674 0.5000
0.5000 0.5000 0.5000
0.9138 0.5859 0.7408
0.7592 0.7592 0.2602
0.0862 0.4141 0.2592
0.5859 0.9138 0.7408
0.2408 0.2408 0.7398
0.4141 0.0862 0.2592

---

NaLaYPb (PBE-GGA, relaxed); DOS at the Fermi energy = 3.5 states/eV/cell; energy relative to the elements = -0.217 eV/atom; density = 6.31 g/cm³; space-group type = F-43m, No. 216; magnetization = 0.02 μB per formula unit
1.0
-3.8651 -3.9460 -0.4940
-0.9548 -3.4880 4.2043
-4.7200 0.3648 2.8882
Pb Y Na La
1 1 1 1
Direct
0.7500 0.7500 0.7500
0.0000 0.0000 0.0000
0.2500 0.2500 0.2500
0.5000 0.5000 0.5000

---

Th2CdFe (PBE-GGA, relaxed); DOS at the Fermi energy = 8.5 states/eV/cell; energy relative to the elements = -0.111 eV/atom; density = 10.18 g/cm³; space-group type = P2_1/m, No. 11; magnetization = 0.00 μB per formula unit
1.0
3.9281 -0.0003 0.0002
0.0005 5.8533 -1.6786
-0.0006 -0.5481 9.1257
Th Cd Fe
4 2 2
Direct
0.7777 0.6584 0.4037
0.2777 0.0982 0.3159
0.2777 0.5275 0.6997
0.7777 0.0878 0.7874
0.7777 0.7603 0.0227
0.2777 0.4260 0.0806
0.2777 0.9346 0.5856
0.7777 0.2512 0.5177

---

TaCo2Ru (PBE-GGA, relaxed); DOS at the Fermi energy = 3.9 states/eV/cell; energy relative to the elements = -0.070 eV/atom; density = 12.66 g/cm³; space-group type = Cmmm, No. 65; magnetization = 0.00 μB per formula unit
1.0
-2.0776 -3.9405 -0.5887
3.9764 -0.1799 -2.0849
1.1565 -0.9516 2.2878
Co Ru Ta
2 1 1
Direct
0.0000 0.0000 0.0000
0.5000 0.5000 0.0000
0.5000 0.0000 0.5000
0.0000 0.5000 0.5000

---

Re4Os5 (PBE-GGA, relaxed); DOS at the Fermi energy = 11.0 states/eV/cell; energy relative to the elements = 0.170 eV/atom; density = 20.99 g/cm³; space-group type = P6_3/mcm, No. 193; magnetization = 0.00 μB per formula unit
1.0
-2.8232 6.4999 -2.5469
-4.9112 -0.0078 -5.7084
-4.1302 -0.4013 3.5540
Re Os
8 10
Direct
0.0000 0.0000 0.0000
0.0000 0.0000 0.5000
0.6678 0.3322 0.2500
0.0000 0.6678 0.2500
0.3322 0.0000 0.2500
0.3322 0.6678 0.7500
0.0000 0.3322 0.7500
0.6678 0.0000 0.7500
0.3339 0.6661 0.2500
0.0000 0.3339 0.2500
0.6661 0.0000 0.2500
0.6661 0.3339 0.7500
0.0000 0.6661 0.7500
0.3339 0.0000 0.7500
0.3333 0.3333 0.0000
0.6667 0.6667 0.5000
0.6667 0.6667 0.0000
0.3333 0.3333 0.5000

---

MgUS2 (PBE-GGA, relaxed); E_form (uncorrected) = -472 kJ/mol of formula units; DOS at the Fermi energy = 4.0 states/eV/cell; density = 6.99 g/cm³; space-group type = R-3m, No. 166; magnetization = 3.00 μB per formula unit
1.0
-1.8095 2.3150 -2.1438
-3.1024 1.5045 1.1579
1.8506 6.4384 2.3051
S U Mg
2 1 1
Direct
0.2592 0.2592 0.2225
0.7408 0.7408 0.7775
0.5000 0.5000 0.5000
0.0000 0.0000 0.0000

---

SrMg4Hg (PBE-GGA, relaxed); DOS at the Fermi energy = 5.1 states/eV/cell; energy relative to the elements = -0.181 eV/atom; density = 3.95 g/cm³; space-group type = Pmma, No. 51; magnetization = 0.00 μB per formula unit
1.0
-1.1523 1.0473 4.2533
2.5572 -7.2583 2.4801
8.0924 3.3208 1.3746
Sr Mg Hg
2 8 2
Direct
0.0000 0.6117 0.7500
0.0000 0.3883 0.2500
0.0000 0.0000 0.5000
0.0000 0.0000 0.0000
0.5000 0.9520 0.7500
0.5000 0.0480 0.2500
0.5000 0.7010 0.0570
0.5000 0.2990 0.9430
0.5000 0.7010 0.4430
0.5000 0.2990 0.5570
0.0000 0.2110 0.7500
0.0000 0.7890 0.2500